AgC3 | GGA-PBE | relaxed

Properties
ΔH_f (0 K) ... 2001 meV/atom
Theoretical density ... 5.110 Mg/m³
Fermi-level density of states ... 1.5 states/eV per cell
Excess energy over the best structure of this formula in the dataset ... 4.17 eV per formula unit

Unit cell a=2.467 b=6.120 c=6.195 alpha=90.00 beta=90.00 gamma=90.00
Space group Cmmm (No. 65)
Inequivalent atoms, fractional coordinates:
Ag  0.000  0.000  0.000 (multiplicity 2)
C  0.000  0.000  0.500 (multiplicity 2)
C  0.000  0.500  0.351 (multiplicity 4)

NaSr2CdP | GGA-PBE | relaxed

Properties
ΔH_f (0 K) ... -423 meV/atom
Theoretical density ... 3.027 Mg/m³
Fermi-level density of states ... 3.3 states/eV per cell

Unit cell a=5.891 b=5.891 c=5.401 alpha=90.00 beta=90.00 gamma=90.00
Space group P4/mmm (No. 123)
Inequivalent atoms, fractional coordinates:
Na  0.000  0.000  0.000 (multiplicity 1)
Sr  0.000  0.500  0.500 (multiplicity 2)
Cd  0.500  0.500  0.000 (multiplicity 1)
P  0.000  0.000  0.500 (multiplicity 1)

TaTePS2 | GGA-PBE | relaxed

Properties
Energy relative to the elements, uncorrected ... 65 meV per atom
Theoretical density ... 5.903 Mg/m³
Fermi-level density of states ... 2.7 states/eV per cell
Excess energy over the best structure of this formula in the dataset ... 0.00 eV per formula unit

Unit cell a=4.684 b=4.684 c=5.175 alpha=90.00 beta=90.00 gamma=90.00
Space group P4/mmm (No. 123)
Inequivalent atoms, fractional coordinates:
Ta  0.000  0.000  0.000 (multiplicity 1)
Te  0.500  0.500  0.500 (multiplicity 1)
P  0.000  0.000  0.500 (multiplicity 1)
S  0.000  0.500  0.000 (multiplicity 2)